The following is a DFT calculation (PBE) of a relaxed BaSiTeN2 crystal.

- Excess energy over the best structure of this formula in the dataset: 0 kJ/mol of formula units

```
5
Lattice="4.355 0.000 0.000 0.000 4.355 0.000 0.000 0.000 5.262" Properties=species:S:1:pos:R:3 pbc="T T T"
Ba 0.000 0.000 0.000
Si 2.178 2.178 2.631
Te 2.178 2.178 0.000
N 0.000 2.178 2.631
N 2.178 0.000 2.631
```



The following is a DFT calculation (PBE) of a relaxed BaSiTe2N crystal.

- Excess energy over the best structure of this formula in the dataset: 0 kJ/mol of formula units

```
5
Lattice="6.243 0.000 0.000 0.000 6.243 0.000 0.000 0.000 3.324" Properties=species:S:1:pos:R:3 pbc="T T T"
Ba 0.000 0.000 0.000
Si 3.121 3.121 1.662
Te 0.000 3.121 1.662
Te 3.121 0.000 1.662
N 3.121 3.121 0.000
```



The following is a DFT calculation (PBE) of a relaxed BaSmN crystal.

- Excess energy over the best structure of this formula in the dataset: 109 kJ/mol of formula units

```
6
Lattice="14.049 0.000 0.000 0.000 1.857 3.217 0.000 -1.857 3.217" Properties=species:S:1:pos:R:3 pbc="T T T"
Ba 1.609 0.000 0.000
Ba 12.441 0.000 0.000
Sm 5.539 0.000 2.158
Sm 8.511 0.000 2.158
N 0.000 0.000 2.145
N 7.025 0.000 0.011
```



The following is a DFT calculation (PBE) of a relaxed BaSmN crystal.

- Excess energy over the best structure of this formula in the dataset: 0 kJ/mol of formula units

```
3
Lattice="3.785 0.000 0.000 -1.893 3.278 0.000 0.000 0.000 6.975" Properties=species:S:1:pos:R:3 pbc="T T T"
Ba 0.000 0.000 0.000
Sm 0.000 2.185 2.969
N 1.893 1.093 2.078
```



The following is a DFT calculation (PBE) of a relaxed Ba2SmTaN4 crystal.

```
16
Lattice="-3.532 3.705 5.175 3.532 -3.705 5.175 3.532 3.705 -5.175" Properties=species:S:1:pos:R:3 pbc="T T T"
Ba 0.000 0.000 0.000
Ba -1.766 1.852 2.587
Ba 0.000 3.705 0.000
Ba 1.766 1.852 2.587
Sm 3.532 0.000 0.000
Sm 0.000 0.000 5.175
Ta 1.766 1.852 -2.587
Ta 1.766 -1.852 2.587
N 3.532 -0.394 2.508
N 3.532 3.310 -2.508
N 1.925 1.852 -0.457
N 5.139 1.852 -0.457
N -1.607 1.852 5.632
N 1.607 1.852 5.632
N 0.000 0.394 7.683
N 0.000 4.099 2.666
```



The following is a DFT calculation (PBE) of a relaxed BaSmTcN4 crystal.

```
14
Lattice="6.027 0.000 0.000 0.000 5.923 0.000 -2.134 0.000 7.166" Properties=species:S:1:pos:R:3 pbc="T T T"
Ba 0.408 1.481 3.060
Ba 3.485 4.442 4.106
Sm -0.277 1.481 6.819
Sm 4.171 4.442 0.347
Tc 1.149 4.442 1.220
Tc 2.744 1.481 5.946
N -0.310 4.442 2.321
N -1.620 4.442 6.714
N 2.275 3.010 1.469
N 2.275 5.874 1.469
N 1.619 0.049 5.697
N 1.619 2.913 5.697
N 5.513 1.481 0.452
N 4.203 1.481 4.845
```



The following is a DFT calculation (PBE) of a relaxed Ba2SmTc2N6 crystal.

```
11
Lattice="5.439 -3.102 0.000 5.439 3.102 0.000 -3.991 0.000 6.098" Properties=species:S:1:pos:R:3 pbc="T T T"
Ba 1.579 0.000 1.171
Ba 5.306 0.000 4.927
Sm -1.996 0.000 3.049
Tc 1.840 0.000 4.870
Tc 5.046 0.000 1.228
N 4.021 1.485 1.360
N 0.325 0.000 3.923
N 2.865 1.485 4.738
N 4.021 -1.485 1.360
N 6.561 0.000 2.175
N 2.865 -1.485 4.738
```



The following is a DFT calculation (PBE) of a relaxed BaSm2TcN4 crystal.

```
16
Lattice="1.774 -6.306 0.000 1.774 6.306 0.000 0.000 0.000 12.323" Properties=species:S:1:pos:R:3 pbc="T T T"
Ba 1.774 5.434 9.242
Ba 1.774 -5.434 3.081
Sm 1.774 1.630 6.670
Sm 1.774 1.630 11.815
Sm 1.774 -1.630 0.508
Sm 1.774 -1.630 5.653
Tc 1.774 3.896 3.081
Tc 1.774 -3.896 9.242
N 0.000 0.000 0.000
N 0.000 0.000 6.161
N 1.774 3.064 1.407
N 1.774 3.064 4.754
N 1.774 1.354 9.242
N 1.774 -1.354 3.081
N 1.774 -3.064 7.569
N 1.774 -3.064 10.915
```



Record order is preserved below.
Formation energy from raw total energies: 632.7, -358.6, -294.9, -671.1, -769.2, -749.1, -639.8, -899.5 meV/atom
Record order is preserved below.
Calculated volume: 19.96, 25.91, 27.97, 28.85, 16.93, 18.27, 18.71, 17.23 A^3/atom